Material: Sm4Y7Mg
Method: DFT, PBE-GGA
State: optimized geometry

a = 6.577 Å, b = 6.594 Å, c = 9.835 Å
α = 89.91°, β = 89.79°, γ = 64.67°
Sites, in units of the cell vectors:
Sm: 0.000 0.000 0.000
Sm: 0.001 0.496 0.147
Sm: 0.479 0.492 0.651
Sm: 0.500 0.999 0.793
Y: 0.005 0.017 0.651
Y: 0.246 0.749 0.339
Y: 0.497 0.496 0.999
Y: 0.500 0.994 0.147
Y: 0.745 0.250 0.339
Y: 0.748 0.748 0.470
Y: 0.988 0.508 0.799
Mg: 0.248 0.246 0.451

Results
ρ = 5.4 g/cm³
SG = No. 1

Material: Sm2YMg4
Method: DFT, PBE-GGA
State: optimized geometry

a = 8.440 Å, b = 8.440 Å, c = 8.440 Å
α = 37.11°, β = 37.11°, γ = 37.11°
Sites, in units of the cell vectors:
Sm: 0.214 0.214 0.214
Sm: 0.786 0.786 0.786
Y: 0.500 0.500 0.500
Mg: 0.070 0.070 0.070
Mg: 0.362 0.362 0.362
Mg: 0.638 0.638 0.638
Mg: 0.930 0.930 0.930

Results
ΔE to the lowest computed polymorph = 0 meV per atom
ρ = 4.1 g/cm³
SG = No. 166

no.,calculated formation energy (kJ/mol of formula units),calculated total energy (Ha/atom),Fermi-level density of states (states/eV/atom)
1,43,-0.200,1.54
2,35,-0.115,0.99